1.
{
  "formula": "Tb4Rh6O19",
  "functional": "PBE-GGA",
  "state": "optimized geometry",
  "lattice_angstrom": [[-0.207, -7.297, 2.067], [6.501, 1.412, -3.647], [-0.443, 4.390, 6.172]],
  "species": ["Rh", "Rh", "Rh", "Rh", "Rh", "Rh", "Tb", "Tb", "Tb", "Tb", "O", "O", "O", "O", "O", "O", "O", "O", "O", "O", "O", "O", "O", "O", "O", "O", "O", "O", "O"],
  "frac_coords": [[0.500, 0.835, 0.335], [0.500, 0.165, 0.665], [0.665, 0.500, 0.165], [0.335, 0.500, 0.835], [0.835, 0.335, 0.500], [0.165, 0.665, 0.500], [0.000, 0.681, 0.000], [0.681, 0.000, 0.000], [0.000, 0.000, 0.681], [0.319, 0.319, 0.319], [0.356, 0.766, 0.028], [0.644, 0.672, 0.410], [0.342, 0.000, 0.342], [0.972, 0.738, 0.328], [0.658, 0.658, 0.000], [0.658, 0.000, 0.658], [0.342, 0.342, 0.000], [0.410, 0.644, 0.672], [0.000, 0.658, 0.658], [0.234, 0.590, 0.262], [0.262, 0.234, 0.590], [0.328, 0.972, 0.738], [0.672, 0.410, 0.644], [0.590, 0.262, 0.234], [0.028, 0.356, 0.766], [0.000, 0.342, 0.342], [0.738, 0.328, 0.972], [0.766, 0.028, 0.356], [0.000, 0.000, 0.000]],
  "raw_formation_energy_mev_per_atom": -1607,
  "dft_energy_ev_per_cell": -203.429
}

2.
{
  "formula": "TbRhO3",
  "functional": "PBE-GGA",
  "state": "optimized geometry",
  "lattice_angstrom": [[-2.268, 4.454, -1.723], [-5.131, -2.758, -0.377], [-1.598, 1.985, 7.237]],
  "species": ["O", "O", "O", "O", "O", "O", "O", "O", "O", "O", "O", "O", "Rh", "Rh", "Rh", "Rh", "Tb", "Tb", "Tb", "Tb"],
  "frac_coords": [[0.177, 0.809, 0.938], [0.634, 0.949, 0.750], [0.177, 0.809, 0.562], [0.134, 0.551, 0.250], [0.366, 0.051, 0.250], [0.866, 0.449, 0.750], [0.823, 0.191, 0.438], [0.677, 0.691, 0.062], [0.323, 0.309, 0.938], [0.823, 0.191, 0.062], [0.677, 0.691, 0.438], [0.323, 0.309, 0.562], [0.500, 0.000, 0.000], [0.000, 0.500, 0.500], [0.000, 0.500, 0.000], [0.500, 0.000, 0.500], [0.469, 0.585, 0.750], [0.969, 0.915, 0.250], [0.531, 0.415, 0.250], [0.031, 0.085, 0.750]],
  "raw_formation_energy_mev_per_atom": -2158,
  "dft_energy_ev_per_cell": -150.576
}

3.
{
  "formula": "TbRh4O8",
  "functional": "PBE-GGA",
  "state": "optimized geometry",
  "lattice_angstrom": [[6.246, 0.000, 0.000], [3.123, 5.409, 0.000], [3.123, 1.803, 5.082]],
  "species": ["O", "O", "O", "O", "O", "O", "O", "O", "Tb", "Rh", "Rh", "Rh", "Rh"],
  "frac_coords": [[0.267, 0.765, 0.204], [0.235, 0.733, 0.796], [0.733, 0.235, 0.796], [0.765, 0.267, 0.204], [0.273, 0.273, 0.180], [0.727, 0.727, 0.820], [0.765, 0.765, 0.204], [0.235, 0.235, 0.796], [0.500, 0.500, 0.500], [0.500, 0.000, 0.000], [0.000, 0.500, 0.000], [0.500, 0.500, 0.000], [0.000, 0.000, 0.000]],
  "raw_formation_energy_mev_per_atom": -1186,
  "dft_energy_ev_per_cell": -89.122
}

What are the calculated density values for these records? In order: 7.69 8.69 6.76 Mg/m³.